LiAcPm2Se4 | PBE | optimized geometry

Unit cell a=7.2944 b=7.2944 c=14.5505 alpha=90.00 beta=90.00 gamma=146.64
Element x y z (fractional)
Li1 0.1471 0.8529 0.7500
Li2 0.8529 0.1471 0.2500
Ac1 0.1198 0.8802 0.2500
Ac2 0.8802 0.1198 0.7500
Pm1 0.3668 0.6332 0.0563
Pm2 0.3668 0.6332 0.4437
Pm3 0.6332 0.3668 0.5563
Pm4 0.6332 0.3668 0.9437
Se1 0.0000 0.0000 0.0000
Se2 0.0000 0.0000 0.5000
Se3 0.2726 0.7274 0.6248
Se4 0.2726 0.7274 0.8752
Se5 0.4526 0.5474 0.2500
Se6 0.5474 0.4526 0.7500
Se7 0.7274 0.2726 0.1248
Se8 0.7274 0.2726 0.3752

raw formation energy = -13.77 eV per formula unit
calculated volume = 26.61 Å³ per atom
total magnetic moment = 0.00 μB/f.u.